w:
The following is a PBE-GGA calculation of a relaxed Ca3ZrS crystal, from Alexandria via LeMat-Bulk.

Geometry as extended XYZ:
```
5
Lattice="5.699 0.000 0.000 0.000 5.699 0.000 0.000 0.000 5.699" Properties=species:S:1:pos:R:3 pbc="T T T"
Ca 0.000 2.850 0.000
Ca 2.850 0.000 0.000
Ca 0.000 0.000 2.850
S 2.850 2.850 2.850
Zr 0.000 0.000 0.000
```

Calculated values
Calculated volume in Å³/atom: 37.02

***

x:
The following is a PBE-GGA calculation of a relaxed Ca3ZrS crystal, from Alexandria via LeMat-Bulk.

Geometry as extended XYZ:
```
5
Lattice="-0.569 0.285 -5.397 -4.843 -2.434 0.383 -2.397 4.850 0.509" Properties=species:S:1:pos:R:3 pbc="T T T"
S 0.000 0.000 0.000
Ca -1.199 2.425 0.254
Ca -2.422 -1.217 0.191
Ca -0.285 0.142 -2.698
Zr -3.905 1.350 -2.253
```

Calculated values
Calculated volume in Å³/atom: 32.09

***

Most stable: x (next structure +1178 meV per atom)

***

w:
The following is a PBE-GGA calculation of a relaxed CaZr3S crystal, from Alexandria via LeMat-Bulk.

Geometry as extended XYZ:
```
5
Lattice="5.091 0.000 0.000 0.000 5.091 0.000 0.000 0.000 5.091" Properties=species:S:1:pos:R:3 pbc="T T T"
Zr 0.000 2.546 0.000
Zr 0.000 0.000 2.546
Zr 2.546 0.000 0.000
Ca 0.000 0.000 0.000
S 2.546 2.546 2.546
```

Calculated values
Calculated volume in Å³/atom: 26.40

***

x:
The following is a PBE-GGA calculation of a relaxed CaZr3S crystal, from Alexandria via LeMat-Bulk.

Geometry as extended XYZ:
```
5
Lattice="-0.620 3.106 3.832 0.524 -3.799 3.163 4.904 0.799 0.146" Properties=species:S:1:pos:R:3 pbc="T T T"
Zr -0.310 1.553 1.916
Zr 0.262 -1.899 1.582
Zr 2.452 0.399 0.073
Ca 2.404 0.053 3.571
S 0.000 0.000 0.000
```

Calculated values
Calculated volume in Å³/atom: 24.57

***

Most stable: x (next structure +2128 meV per atom)

***

w:
The following is a PBE-GGA calculation of a relaxed Ca4Sb3 crystal, from Alexandria via LeMat-Bulk.

Geometry as extended XYZ:
```
14
Lattice="7.760 0.000 -2.744 -3.880 6.721 -2.744 0.000 0.000 8.231" Properties=species:S:1:pos:R:3 pbc="T T T"
Sb 5.820 1.680 2.058
Sb 3.395 4.200 -0.686
Sb -1.455 5.880 -2.058
Sb -0.485 2.520 0.686
Sb 1.940 5.040 3.430
Sb 2.425 0.840 4.801
Ca 0.793 3.360 -2.338
Ca 4.673 3.360 -3.710
Ca 0.000 0.000 7.014
Ca 4.454 0.993 -0.966
Ca 2.514 2.367 1.777
Ca 0.000 0.000 2.899
Ca -1.366 4.354 3.149
Ca 0.574 5.727 0.406
```

Calculated values
Calculated volume in Å³/atom: 30.66

***

x:
The following is a PBE-GGA calculation of a relaxed Ca4Sb3 crystal, from Alexandria via LeMat-Bulk.

Geometry as extended XYZ:
```
7
Lattice="3.211 -5.561 0.000 3.211 5.561 0.000 0.000 0.000 6.113" Properties=species:S:1:pos:R:3 pbc="T T T"
Sb 1.605 -2.780 0.000
Sb 3.211 0.000 0.000
Sb 1.605 2.780 0.000
Ca 3.211 -1.854 3.056
Ca 0.000 0.000 4.671
Ca 3.211 1.854 3.056
Ca 0.000 0.000 1.442
```

Calculated values
Calculated volume in Å³/atom: 31.18

***

Most stable: w (next structure +558 meV per atom)